(1)
The following is a DFT calculation (GGA-PBE) of TbDy3Ag2 after structural relaxation.

Cell: 3.6180 3.6180 12.2835 Å, 90.00 90.00 90.00°
Last column: nearest neighbours and their distance in Å.
Fractional positions:
Tb 0.5000 0.5000 0.5000  8 Dy 3.57, 4 Tb 3.62
Dy 0.0000 0.0000 0.0000  8 Ag 3.15
Dy 0.0000 0.0000 0.7024  4 Ag 3.14
Dy 0.0000 0.0000 0.2976  4 Ag 3.14
Ag 0.5000 0.5000 0.8510  8 Dy 3.14-3.15
Ag 0.5000 0.5000 0.1490  8 Dy 3.14-3.15

- Space group: P4/mmm (123)
- Uncorrected energy: -25.33 eV/f.u.
- E above lowest polymorph: 0.0000 eV per atom
- Formation energy: -1.2 eV/f.u.
- Density: 8.90 g/cm3


(2)
The following is a DFT calculation (GGA-PBE) of CaTlBiPb after structural relaxation.

Cell: 5.6255 5.6255 5.6255 Å, 60.00 60.00 60.00°
Last column: nearest neighbours and their distance in Å.
Fractional positions:
Pb 0.7500 0.7500 0.7500  4 Bi 3.44, 4 Tl 3.44
Tl 0.0000 0.0000 0.0000  4 Pb 3.44, 4 Ca 3.44
Ca 0.2500 0.2500 0.2500  4 Tl 3.44, 4 Bi 3.44
Bi 0.5000 0.5000 0.5000  4 Ca 3.44, 4 Pb 3.44

- Space group: F-43m (216)
- Uncorrected energy: -13.00 eV/f.u.
- E above lowest polymorph: 0.0589 eV per atom
- Formation energy: -1.0 eV/f.u.
- Density: 8.71 g/cm3


(3)
The following is a DFT calculation (GGA-PBE) of BaCd2HgF8 after structural relaxation.

Cell: 4.1263 5.7919 7.8878 Å, 90.00 90.00 89.61°
Last column: nearest neighbours and their distance in Å.
Fractional positions:
Ba 0.0000 0.0000 0.5000  8 F 2.62-2.63
Cd 0.5000 0.5000 0.7629  8 F 2.35-2.47
Cd 0.5000 0.5000 0.2371  8 F 2.35-2.47
Hg 0.0000 0.0000 0.0000  8 F 2.40-2.54
F 0.0026 0.7303 0.2311  1 Hg 2.40, 2 Cd 2.44-2.47, 1 Ba 2.63, 1 F 2.67
F 0.5021 0.7457 0.0000  2 Cd 2.35, 2 Hg 2.53-2.54
F 0.9974 0.2697 0.2310  1 Hg 2.40, 2 Cd 2.44-2.47, 1 Ba 2.63, 1 F 2.67
F 0.9974 0.2697 0.7689  1 Hg 2.40, 2 Cd 2.44-2.47, 1 Ba 2.63, 1 F 2.67
F 0.4979 0.2543 0.0000  2 Cd 2.35, 2 Hg 2.53-2.54
F 0.0026 0.7303 0.7690  1 Hg 2.40, 2 Cd 2.44-2.47, 1 Ba 2.63, 1 F 2.67
F 0.5029 0.7212 0.5000  2 Cd 2.44, 1 F 2.56, 2 Ba 2.62
F 0.4971 0.2788 0.5000  2 Cd 2.44, 1 F 2.56, 2 Ba 2.62

- Space group: P2/m (10)
- Uncorrected energy: -47.62 eV/f.u.
- E_form (uncorrected): -28.60 eV/f.u.
- Density: 6.30 g/cm3


(4)
The following is a DFT calculation (GGA-PBE) of Ti3V4Ga4 after structural relaxation.

Cell: 4.3924 5.7227 7.8483 Å, 111.38 106.25 90.00°
Last column: nearest neighbours and their distance in Å.
Fractional positions:
Ti 0.1397 0.1397 0.2793  6 V 2.82-2.83, 2 Ga 2.94
Ti 0.8603 0.8603 0.7207  6 V 2.82-2.83, 2 Ga 2.94
Ti 0.0000 0.5000 0.0000  6 Ga 2.63-2.73
V 0.3252 0.1225 0.6504  1 V 2.32, 4 Ga 2.48-2.55
V 0.6748 0.4722 0.3496  1 V 2.32, 4 Ga 2.48-2.55
V 0.6748 0.8775 0.3496  1 V 2.32, 4 Ga 2.48-2.55
V 0.3252 0.5278 0.6504  1 V 2.32, 4 Ga 2.48-2.55
Ga 0.1888 0.6888 0.3775  6 V 2.49-2.55, 1 Ti 2.63
Ga 0.8112 0.3112 0.6225  6 V 2.49-2.55, 1 Ti 2.63
Ga 0.5000 0.7824 0.0000  2 V 2.48, 1 Ga 2.49, 2 Ti 2.73
Ga 0.5000 0.2176 0.0000  2 V 2.48, 1 Ga 2.49, 2 Ti 2.73

- Space group: Immm (71)
- Uncorrected energy: -72.63 eV/f.u.
- Formation energy: -0.4 eV/f.u.
- Density: 5.94 g/cm3


What D(E_F) values result from the calculations? In sequence: 5.5, 2.8, 0.0, 10.4 states/eV/f.u..